No. 1
Below is an optimized crystal structure of HfZrBr2, with properties calculated at the GGA-PBEsol level.

Values from the calculation:
The space group is No. 166. As for the raw formation energy: -0.495 eV/atom. Its magnetization is 0.0000 μB/atom. As for the final energy: -0.465 Ry/atom.

abc: 3.251 3.251 9.605
angles: 80.26 80.26 60.00
Positions (direct):
Br: 0.097 0.097 0.710
Br: 0.903 0.903 0.290
Zr: 0.000 0.000 0.000
Hf: 0.500 0.500 0.500



No. 2
Below is an optimized crystal structure of Li2InIr, with properties calculated at the GGA-PBEsol level.

Values from the calculation:
The space group is No. 71. The energy of formation comes out at -0.219 eV/atom. Its magnetization is 0.0000 μB/atom. As for the final energy: -0.324 Ry/atom.

abc: 3.075 4.428 5.279
angles: 114.80 106.93 90.00
Positions (direct):
In: 0.500 0.000 0.000
Ir: 0.000 0.500 0.000
Li: 0.732 0.732 0.463
Li: 0.268 0.268 0.537



No. 3
Below is an optimized crystal structure of Li2SnGe2, with properties calculated at the GGA-PBEsol level.

Values from the calculation:
The space group is No. 127. The energy of formation comes out at -0.217 eV/atom. Its magnetization is 0.0000 μB/atom. As for the final energy: -0.282 Ry/atom.

abc: 3.069 7.640 7.640
angles: 90.00 90.00 90.00
Positions (direct):
Sn: 0.000 0.000 0.000
Sn: 0.000 0.500 0.500
Li: 0.500 0.682 0.818
Li: 0.500 0.182 0.682
Li: 0.500 0.318 0.182
Li: 0.500 0.818 0.318
Ge: 0.000 0.116 0.384
Ge: 0.000 0.616 0.116
Ge: 0.000 0.384 0.884
Ge: 0.000 0.884 0.616



No. 4
Below is an optimized crystal structure of B3MoAu, with properties calculated at the GGA-PBEsol level.

Values from the calculation:
The space group is No. 221. The energy of formation comes out at 1.557 eV/atom. Its magnetization is 0.0000 μB/atom. As for the final energy: -0.426 Ry/atom.

abc: 4.108 4.108 4.108
angles: 90.00 90.00 90.00
Positions (direct):
B: 0.000 0.000 0.500
B: 0.000 0.500 0.000
B: 0.500 0.000 0.000
Mo: 0.000 0.000 0.000
Au: 0.500 0.500 0.500



No. 5
Below is an optimized crystal structure of CdP2H4O4, with properties calculated at the GGA-PBEsol level.

Values from the calculation:
The space group is No. 15. Its magnetization is 0.0000 μB/atom. As for the final energy: -0.390 Ry/atom.

abc: 5.498 6.464 8.055
angles: 101.37 109.95 90.00
Positions (direct):
O: 0.791 0.397 0.857
O: 0.066 0.897 0.857
O: 0.698 0.728 0.230
O: 0.302 0.272 0.770
O: 0.468 0.772 0.770
O: 0.209 0.603 0.143
O: 0.934 0.103 0.143
O: 0.532 0.228 0.230
P: 0.540 0.279 0.717
P: 0.460 0.721 0.283
P: 0.177 0.779 0.717
P: 0.823 0.221 0.283
H: 0.604 0.070 0.660
H: 0.944 0.430 0.340
H: 0.526 0.632 0.440
H: 0.474 0.368 0.560
H: 0.086 0.868 0.560
H: 0.914 0.132 0.440
H: 0.396 0.930 0.340
H: 0.056 0.570 0.660
Cd: 0.170 0.250 0.000
Cd: 0.830 0.750 0.000



No. 6
Below is an optimized crystal structure of NiRu3Pb, with properties calculated at the GGA-PBEsol level.

Values from the calculation:
The space group is No. 221. The energy of formation comes out at 1.372 eV/atom. Its magnetization is 0.7900 μB/atom. As for the final energy: -0.497 Ry/atom.

abc: 4.436 4.436 4.436
angles: 90.00 90.00 90.00
Positions (direct):
Ru: 0.000 0.000 0.500
Ru: 0.000 0.500 0.000
Ru: 0.500 0.000 0.000
Pb: 0.500 0.500 0.500
Ni: 0.000 0.000 0.000



No. 7
Below is an optimized crystal structure of Tl2RhAu, with properties calculated at the GGA-PBEsol level.

Values from the calculation:
The space group is No. 216. The energy of formation comes out at 0.328 eV/atom. Its magnetization is 0.0000 μB/atom. As for the final energy: -0.294 Ry/atom.

abc: 4.798 4.798 4.798
angles: 60.00 60.00 60.00
Positions (direct):
Au: 0.500 0.500 0.500
Tl: 0.000 0.000 0.000
Tl: 0.750 0.750 0.750
Rh: 0.250 0.250 0.250



No. 8
Below is an optimized crystal structure of Be2BIr2, with properties calculated at the GGA-PBEsol level.

Values from the calculation:
The space group is No. 127. The energy of formation comes out at -0.366 eV/atom. Its magnetization is 0.0000 μB/atom. As for the final energy: -0.536 Ry/atom.

abc: 3.500 5.614 5.614
angles: 90.00 90.00 90.00
Positions (direct):
B: 0.000 0.000 0.000
B: 0.000 0.500 0.500
Be: 0.500 0.859 0.359
Be: 0.500 0.359 0.141
Be: 0.500 0.141 0.641
Be: 0.500 0.641 0.859
Ir: 0.000 0.334 0.834
Ir: 0.000 0.834 0.666
Ir: 0.000 0.666 0.166
Ir: 0.000 0.166 0.334



No. 9
Below is an optimized crystal structure of BWI2O, with properties calculated at the GGA-PBEsol level.

Values from the calculation:
The space group is No. 123. For the energy above the most stable polymorph in this dataset, the calculation gives 139 meV per atom. As for the raw formation energy: 0.782 eV/atom. Its magnetization is 0.1553 μB/atom. As for the final energy: -0.378 Ry/atom.

abc: 3.040 5.192 5.192
angles: 90.00 90.00 90.00
Positions (direct):
I: 0.000 0.500 0.000
I: 0.000 0.000 0.500
W: 0.500 0.500 0.500
O: 0.500 0.000 0.000
B: 0.000 0.000 0.000



No. 10
Below is an optimized crystal structure of AlMoAu2, with properties calculated at the GGA-PBEsol level.

Values from the calculation:
The space group is No. 12. The energy of formation comes out at 0.061 eV/atom. Its magnetization is 0.0001 μB/atom. As for the final energy: -0.431 Ry/atom.

abc: 2.762 4.898 5.018
angles: 100.66 90.00 106.38
Positions (direct):
Au: 0.245 0.490 0.250
Au: 0.755 0.510 0.750
Al: 0.500 0.000 0.000
Mo: 0.000 0.000 0.500



No. 11
Below is an optimized crystal structure of LiZn3Cd, with properties calculated at the GGA-PBEsol level.

Values from the calculation:
The space group is No. 221. The energy of formation comes out at 0.459 eV/atom. Its magnetization is 0.0000 μB/atom. As for the final energy: -0.083 Ry/atom.

abc: 4.939 4.939 4.939
angles: 90.00 90.00 90.00
Positions (direct):
Zn: 0.000 0.000 0.500
Zn: 0.500 0.000 0.000
Zn: 0.000 0.500 0.000
Li: 0.500 0.500 0.500
Cd: 0.000 0.000 0.000



No. 12
Below is an optimized crystal structure of BaHfTi3, with properties calculated at the GGA-PBEsol level.

Values from the calculation:
The space group is No. 221. The energy of formation comes out at 1.677 eV/atom. Its magnetization is 0.0014 μB/atom. As for the final energy: -0.430 Ry/atom.

abc: 4.873 4.873 4.873
angles: 90.00 90.00 90.00
Positions (direct):
Ti: 0.000 0.500 0.000
Ti: 0.500 0.000 0.000
Ti: 0.000 0.000 0.500
Ba: 0.000 0.000 0.000
Hf: 0.500 0.500 0.500